(1)
! TlZnGa, relaxed, DFT PBE; values from VASP
! Final energy = -25.8 eV/cell
! SG = Pnma
&SYSTEM
  ibrav = 0, nat = 12, ntyp = 3
/
ATOMIC_SPECIES
Tl 204.38 Tl.upf
Zn 65.41 Zn.upf
Ga 69.72 Ga.upf
CELL_PARAMETERS angstrom
7.634 0.000 0.000
0.000 4.278 0.000
0.000 0.000 8.087
ATOMIC_POSITIONS angstrom
Tl 3.647 1.070 2.677
Tl 0.170 3.209 6.720
Tl 3.987 3.209 5.411
Tl 7.464 1.070 1.367
Zn 1.710 1.070 5.056
Zn 2.107 3.209 1.013
Zn 5.924 3.209 3.031
Zn 5.527 1.070 7.075
Ga 6.622 1.070 4.564
Ga 4.829 3.209 0.520
Ga 1.012 3.209 3.523
Ga 2.805 1.070 7.567

---

(2)
! Ac6CoIr, relaxed, DFT PBE; values from VASP
! Final energy = -42.5 eV/cell
! SG = R-3
&SYSTEM
  ibrav = 0, nat = 8, ntyp = 3
/
ATOMIC_SPECIES
Ac 227.00 Ac.upf
Co 58.93 Co.upf
Ir 192.22 Ir.upf
CELL_PARAMETERS angstrom
6.419 0.007 3.344
2.325 5.976 3.361
-0.123 -0.107 8.064
ATOMIC_POSITIONS angstrom
Ac 1.407 2.350 7.740
Ac 4.940 0.438 8.887
Ac 4.349 1.458 4.794
Ac 3.681 5.437 5.882
Ac 7.214 3.525 7.028
Ac 4.271 4.417 9.975
Co 0.000 0.000 0.000
Ir 4.310 2.938 7.384

---

(3)
! Nd2Al4Zn3Pt, relaxed, DFT PBE; values from VASP
! Final energy = -40.1 eV/cell
! SG = P-4m2
&SYSTEM
  ibrav = 0, nat = 10, ntyp = 4
/
ATOMIC_SPECIES
Nd 144.24 Nd.upf
Al 26.98 Al.upf
Zn 65.41 Zn.upf
Pt 195.08 Pt.upf
CELL_PARAMETERS angstrom
-1.486 -1.469 3.694
-2.076 -3.076 -2.058
8.593 -6.409 0.909
ATOMIC_POSITIONS angstrom
Nd 1.413 -2.342 2.075
Nd 5.399 -6.339 -0.348
Al -1.781 -2.272 0.818
Al 0.000 0.000 0.000
Al 4.651 -4.757 2.418
Al 2.161 -3.924 -0.691
Zn 4.297 -3.204 0.455
Zn 6.655 -6.251 2.630
Zn 0.157 -2.430 -0.903
Pt 2.515 -5.477 1.272

---

(4)
! Pr5Ho4Tm2, relaxed, DFT PBE; values from VASP
! Final energy = -50.3 eV/cell
! Distance to the lowest polymorph of the same formula = 0.0 meV/atom
! SG = C2/m
&SYSTEM
  ibrav = 0, nat = 11, ntyp = 3
/
ATOMIC_SPECIES
Pr 140.91 Pr.upf
Ho 164.93 Ho.upf
Tm 168.93 Tm.upf
CELL_PARAMETERS angstrom
-2.791 1.760 -1.333
4.911 -0.226 -10.582
-2.884 -8.542 -0.486
ATOMIC_POSITIONS angstrom
Pr -2.556 -5.385 -6.506
Pr 1.792 -1.623 -5.895
Pr 0.398 -4.281 -11.234
Pr -1.396 0.880 -0.666
Pr -1.162 -2.728 -1.167
Ho -2.066 -5.553 -3.003
Ho -1.737 -6.390 -9.550
Ho 1.302 -1.455 -9.398
Ho 0.972 -0.618 -2.851
Tm -1.513 -2.503 -4.886
Tm 0.748 -4.506 -7.514

---

(5)
! Cs2AgHgBr6, relaxed, DFT PBE; values from VASP
! Final energy = -48.7 eV/cell
! Formation energy (no corrections) = -0.943 eV/atom
! SG = P2_1/c
&SYSTEM
  ibrav = 0, nat = 20, ntyp = 4
/
ATOMIC_SPECIES
Cs 132.91 Cs.upf
Ag 107.87 Ag.upf
Hg 200.59 Hg.upf
Br 79.90 Br.upf
CELL_PARAMETERS angstrom
-0.457 0.476 8.027
-4.493 -6.621 0.137
9.382 -6.346 0.989
ATOMIC_POSITIONS angstrom
Cs 1.886 -1.114 8.268
Cs 4.563 -7.829 4.817
Cs 2.546 -11.378 0.885
Cs -0.131 -4.663 4.336
Ag 4.463 -2.935 4.508
Ag -2.247 -3.311 0.068
Hg -0.228 0.238 4.013
Hg 2.445 -6.484 0.563
Br -3.542 -5.007 2.343
Br 1.111 -7.663 6.845
Br 7.974 -7.484 6.810
Br 3.322 -4.829 2.308
Br 1.083 -8.064 2.759
Br 5.668 -10.820 7.264
Br 3.349 -4.427 6.394
Br -1.236 -1.672 1.889
Br -0.552 -4.325 8.236
Br 2.152 -11.001 4.785
Br 4.985 -8.167 0.917
Br 2.281 -1.491 4.368

---

(6)
! Tb2IrAu, relaxed, DFT PBE; values from VASP
! Final energy = -24.7 eV/cell
! SG = P4/mmm
&SYSTEM
  ibrav = 0, nat = 4, ntyp = 3
/
ATOMIC_SPECIES
Tb 158.93 Tb.upf
Ir 192.22 Ir.upf
Au 196.97 Au.upf
CELL_PARAMETERS angstrom
-0.761 2.581 2.292
-3.417 -0.894 -0.128
0.972 -4.484 5.373
ATOMIC_POSITIONS angstrom
Tb 0.745 -3.438 4.119
Tb 0.227 -1.047 1.254
Ir -2.089 0.843 1.082
Au -1.603 -1.399 3.768

---

(7)
! BaCo2, relaxed, DFT PBE; values from VASP
! Final energy = -38.1 eV/cell
! SG = P-62m
&SYSTEM
  ibrav = 0, nat = 9, ntyp = 2
/
ATOMIC_SPECIES
Ba 137.33 Ba.upf
Co 58.93 Co.upf
CELL_PARAMETERS angstrom
3.429 -5.939 0.000
3.429 5.939 0.000
0.000 0.000 5.529
ATOMIC_POSITIONS angstrom
Ba 3.429 1.980 0.000
Ba 3.429 -1.980 0.000
Ba 0.000 0.000 2.765
Co 0.649 -1.123 0.000
Co 0.649 1.123 0.000
Co 5.560 0.000 0.000
Co 1.615 -2.797 2.765
Co 1.615 2.797 2.765
Co 3.628 0.000 2.765

---

(8)
! LaZrCd2C, relaxed, DFT PBE; values from VASP
! Final energy = -21.8 eV/cell
! Distance to the lowest polymorph of the same formula = 0.0 meV/atom
! SG = P4/mmm
&SYSTEM
  ibrav = 0, nat = 5, ntyp = 4
/
ATOMIC_SPECIES
C 12.01 C.upf
Cd 112.41 Cd.upf
Zr 91.22 Zr.upf
La 138.91 La.upf
CELL_PARAMETERS angstrom
-1.654 2.120 -4.887
-3.802 -1.907 0.459
-1.951 4.520 2.621
ATOMIC_POSITIONS angstrom
C -1.901 -0.953 0.230
Cd -0.975 2.260 1.310
Cd -0.827 1.060 -2.443
Zr 0.000 0.000 0.000
La -3.703 2.367 -0.903

---

Number 1: spin magnetization 0.00 μB/f.u.. Number 2: spin magnetization 0.00 μB/f.u.. Number 3: spin magnetization 0.00 μB/f.u.. Number 4: spin magnetization 0.00 μB/f.u.. Number 5: spin magnetization 0.00 μB/f.u.. Number 6: spin magnetization 0.00 μB/f.u.. Number 7: spin magnetization 3.25 μB/f.u.. Number 8: spin magnetization 0.00 μB/f.u..